## TbSm12Y3 (PBE-GGA)

Data for an optimized crystal structure of TbSm12Y3.

a b c (Å): 5.1117 5.1117 20.4136
angles (deg): 90.00 90.00 90.00
With the nearest neighbours (Å) after each atom.
Space group P4/mmm (No. 123)
Inequivalent atoms, fractional coordinates:
Tb 0.0000 0.0000 0.0000 x1  12 Sm 3.61
Sm 0.0000 0.5000 0.1246 x4  8 Sm 3.61-3.62, 2 Tb 3.61, 2 Y 3.62
Sm 0.0000 0.5000 0.3749 x4  8 Sm 3.61, 4 Y 3.61
Sm 0.5000 0.5000 0.0000 x1  8 Sm 3.61, 4 Tb 3.61
Sm 0.5000 0.5000 0.2499 x2  8 Sm 3.61-3.62, 4 Y 3.61
Sm 0.5000 0.5000 0.5000 x1  8 Sm 3.61, 4 Y 3.61
Y 0.0000 0.0000 0.2499 x2  12 Sm 3.61-3.62
Y 0.0000 0.0000 0.5000 x1  12 Sm 3.61

Calculated values
Calculated formation energy ... 0.02 eV/atom

## LiCe2PbN (PBE-GGA)

Data for an optimized crystal structure of LiCe2PbN.

a b c (Å): 4.8539 4.8539 4.6110
angles (deg): 90.00 90.00 90.00
With the nearest neighbours (Å) after each atom.
Space group P4/mmm (No. 123)
Inequivalent atoms, fractional coordinates:
Li 0.0000 0.0000 0.0000 x1  2 N 2.31
Ce 0.0000 0.5000 0.5000 x2  2 N 2.43
Pb 0.5000 0.5000 0.0000 x1  8 Ce 3.35, 4 Li 3.43
N 0.0000 0.0000 0.5000 x1  2 Li 2.31, 4 Ce 2.43

Calculated values
Formation energy (no corrections) ... -0.7932 eV per atom

## PmPrErN3 (PBE-GGA)

Data for an optimized crystal structure of PmPrErN3.

a b c (Å): 6.1250 3.5676 9.2029
angles (deg): 90.00 101.83 90.00
With the nearest neighbours (Å) after each atom.
Space group P2_1/m (No. 11)
Inequivalent atoms, fractional coordinates:
Pm 0.2309 0.2500 0.4529 x2  6 N 2.44-2.68
Pr 0.3497 0.7500 0.8056 x2  7 N 2.57-2.79
Er 0.1457 0.7500 0.1382 x2  5 N 2.26-2.49
N 0.0373 0.2500 0.6597 x2  1 Er 2.36, 3 Pm 2.44-2.50
N 0.2408 0.2500 0.0128 x2  3 Er 2.26-2.49
N 0.4574 0.7500 0.3252 x2  1 Er 2.29, 1 Pm 2.49

Calculated values
Formation energy (no corrections) ... -1.3591 eV per atom

## Sr3MnBr8 (PBE-GGA)

Data for an optimized crystal structure of Sr3MnBr8.

a b c (Å): 8.5872 13.0447 8.5809
angles (deg): 90.00 90.00 90.00
With the nearest neighbours (Å) after each atom.
Space group C222 (No. 21)
Inequivalent atoms, fractional coordinates:
Sr 0.0000 0.0000 0.0000 x2  6 Br 3.07
Sr 0.2500 0.2500 0.7435 x4  6 Br 3.05-3.09
Mn 0.0000 0.0000 0.5000 x2  6 Br 2.69-2.76
Br 0.0000 0.2062 0.5000 x4  1 Mn 2.69
Br 0.0000 0.2350 0.0000 x4  3 Sr 3.07-3.08
Br 0.2286 0.0138 0.7257 x8  1 Mn 2.76, 2 Sr 3.07-3.09

Calculated values
Formation energy (no corrections) ... -1.7572 eV per atom

Values of calculated total energy, in order: -80.40; -29.78; -94.45; -97.37, all in eV per cell.
Values of spin magnetization, in order: 0.000; 0.265; 0.000; 0.417, all in μB per atom.